(1)
DFT (PBE) results for a relaxed AcLa4Sm2 crystal.

a b c (Å): 3.6998 5.9811 12.5066
angles (deg): 103.84 98.51 90.00
Positions (direct):
La 0.3610 0.8609 0.7219
La 0.9083 0.4084 0.8166
La 0.0917 0.5916 0.1834
La 0.6390 0.1391 0.2781
Ac 0.0000 0.0000 0.0000
Sm 0.7271 0.7270 0.4542
Sm 0.2729 0.2730 0.5458

Properties
Space-group type = Immm
E_tot = -0.3426 Ry/atom
ΔH_f (0 K) = 0.089 eV per atom
Offset from the most stable computed form = 0 meV per atom

(2)
DFT (PBE) results for a relaxed TiSBrCl2 crystal.

a b c (Å): 4.7353 4.7353 4.9313
angles (deg): 90.00 90.00 90.00
Positions (direct):
Ti 0.0000 0.0000 0.0000
Br 0.5000 0.5000 0.5000
S 0.0000 0.0000 0.5000
Cl 0.0000 0.5000 0.0000
Cl 0.5000 0.0000 0.0000

Properties
Space-group type = P4/mmm
E_form (uncorrected) = -0.67 eV/atom
E_tot = -0.3045 Ry/atom
Offset from the most stable computed form = 0 meV per atom

(3)
DFT (PBE) results for a relaxed Ce3Ga12Sb5 crystal.

a b c (Å): 14.5216 14.5216 14.5216
angles (deg): 109.47 109.47 109.47
Each line ends with the local moment (μB).
Positions (direct):
Ga 0.7716 0.4584 0.3997  0.00
Ga 0.0587 0.1868 0.4584  0.00
Ga 0.3718 0.2716 0.3132  0.00
Ga 0.1282 0.1868 0.2284  0.00
Ga 0.2284 0.5416 0.6003  0.00
Ga 0.9413 0.1282 0.8997  0.00
Ga 0.4584 0.6868 0.0587  0.00
Ga 0.3132 0.5416 0.4413  0.00
Ga 0.4413 0.3997 0.6282  0.00
Ga 0.1003 0.7284 0.5416  0.00
Ga 0.3132 0.7716 0.3718  0.00
Ga 0.1282 0.9413 0.3997  0.00
Ga 0.6282 0.8997 0.4413  0.00
Ga 0.3997 0.4413 0.1282  0.00
Ga 0.4413 0.0416 0.3132  0.00
Ga 0.1868 0.1282 0.7284  0.00
Ga 0.9584 0.5587 0.1868  0.00
Ga 0.5416 0.2284 0.1003  0.00
Ga 0.6282 0.7284 0.6868  0.00
Ga 0.9413 0.8132 0.5416  0.00
Ga 0.0416 0.4413 0.8132  0.00
Ga 0.6003 0.0416 0.2284  0.00
Ga 0.2716 0.3718 0.8132  0.00
Ga 0.6868 0.4584 0.5587  0.00
Ga 0.8718 0.0587 0.6003  0.00
Ga 0.5587 0.6003 0.3718  0.00
Ga 0.6003 0.5587 0.8718  0.00
Ga 0.7716 0.3132 0.8718  0.00
Ga 0.0587 0.8718 0.1003  0.00
Ga 0.8997 0.2716 0.4584  0.00
Ga 0.2284 0.6868 0.1282  0.00
Ga 0.2716 0.8997 0.9584  0.00
Ga 0.7284 0.6282 0.1868  0.00
Ga 0.8132 0.9413 0.0416  0.00
Ga 0.4584 0.7716 0.8997  0.00
Ga 0.3718 0.1003 0.5587  0.00
Ga 0.1868 0.0587 0.9584  0.00
Ga 0.8718 0.8132 0.7716  0.00
Ga 0.3997 0.9584 0.7716  0.00
Ga 0.7284 0.1003 0.0416  0.00
Ga 0.5587 0.9584 0.6868  0.00
Ga 0.6868 0.2284 0.6282  0.00
Ga 0.8997 0.6282 0.9413  0.00
Ga 0.9584 0.3997 0.2716  0.00
Ga 0.5416 0.3132 0.9413  0.00
Ga 0.0416 0.6003 0.7284  0.00
Ga 0.1003 0.3718 0.0587  0.00
Ga 0.8132 0.8718 0.2716  0.00
Ce 0.1250 0.8750 0.7500  0.78
Ce 0.7500 0.8750 0.6250  0.78
Ce 0.1250 0.2500 0.8750  0.78
Ce 0.3750 0.7500 0.6250  0.78
Ce 0.8750 0.7500 0.1250  0.78
Ce 0.6250 0.2500 0.3750  0.78
Ce 0.3750 0.6250 0.2500  0.78
Ce 0.8750 0.1250 0.2500  0.78
Ce 0.7500 0.3750 0.1250  0.78
Ce 0.6250 0.3750 0.7500  0.78
Ce 0.2500 0.6250 0.8750  0.78
Ce 0.2500 0.1250 0.3750  0.78
Sb 0.2500 0.3750 0.6250  -0.01
Sb 0.0000 0.5000 0.0000  0.00
Sb 0.8750 0.6250 0.7500  -0.01
Sb 0.1250 0.3750 0.2500  -0.01
Sb 0.3750 0.1250 0.7500  -0.01
Sb 0.5000 0.0000 0.0000  0.00
Sb 0.7500 0.1250 0.8750  -0.01
Sb 0.5000 0.5000 0.5000  0.00
Sb 0.6250 0.7500 0.8750  -0.01
Sb 0.0000 0.0000 0.0000  0.00
Sb 0.0000 0.5000 0.5000  0.00
Sb 0.5000 0.0000 0.5000  0.00
Sb 0.8750 0.2500 0.6250  -0.01
Sb 0.2500 0.8750 0.1250  -0.01
Sb 0.5000 0.5000 0.0000  0.00
Sb 0.1250 0.7500 0.3750  -0.01
Sb 0.6250 0.8750 0.2500  -0.01
Sb 0.3750 0.2500 0.1250  -0.01
Sb 0.7500 0.6250 0.3750  -0.01
Sb 0.0000 0.0000 0.5000  0.00

Properties
Space-group type = Ia-3d
E_form (uncorrected) = 0.09 eV/atom
E_tot = -0.2683 Ry/atom

(4)
DFT (PBE) results for a relaxed LaCd2H2 crystal.

a b c (Å): 6.3152 6.3152 4.8192
angles (deg): 90.00 90.00 90.00
Positions (direct):
La 0.5000 0.5000 0.0000
La 0.0000 0.0000 0.0000
Cd 0.3295 0.1705 0.5000
Cd 0.6705 0.8295 0.5000
Cd 0.8295 0.3295 0.5000
Cd 0.1705 0.6705 0.5000
H 0.6733 0.8267 0.0000
H 0.3267 0.1733 0.0000
H 0.8267 0.3267 0.0000
H 0.1733 0.6733 0.0000

Properties
Space-group type = P4/mbm
E_tot = -0.2117 Ry/atom
Offset from the most stable computed form = 0 meV per atom

(5)
DFT (PBE) results for a relaxed La4PSe2Cl crystal.

a b c (Å): 4.2551 7.4013 7.4097
angles (deg): 109.21 90.00 90.00
Positions (direct):
P 0.5000 0.5000 0.0000
Cl 0.0000 0.0000 0.0000
Se 0.5000 0.0000 0.5000
Se 0.0000 0.5000 0.5000
La 0.0000 0.7339 0.2370
La 0.5000 0.2621 0.2455
La 0.5000 0.7379 0.7545
La 0.0000 0.2661 0.7630

Properties
Space-group type = P2/m
E_form (uncorrected) = -1.84 eV/atom
E_tot = -0.4472 Ry/atom

(6)
DFT (PBE) results for a relaxed Zr2RuPb crystal.

a b c (Å): 5.6745 5.6745 5.6745
angles (deg): 137.65 137.65 61.44
Positions (direct):
Zr 0.2500 0.7500 0.5000
Zr 0.0000 0.0000 0.0000
Ru 0.7500 0.2500 0.5000
Pb 0.5000 0.5000 0.0000

Properties
Space-group type = I-4m2
E_tot = -0.5615 Ry/atom
ΔH_f (0 K) = -0.120 eV per atom

(7)
DFT (PBE) results for a relaxed TlAgSe2 crystal.

a b c (Å): 5.0769 5.0769 5.0769
angles (deg): 60.00 60.00 60.00
Positions (direct):
Ag 0.5000 0.5000 0.5000
Se 0.2500 0.2500 0.2500
Se 0.0000 0.0000 0.0000
Tl 0.7500 0.7500 0.7500

Properties
Space-group type = F-43m
E_form (uncorrected) = 0.26 eV/atom
E_tot = -0.2050 Ry/atom

(8)
DFT (PBE) results for a relaxed Na2IrBr2Cl4 crystal.

a b c (Å): 6.8716 6.9994 6.9994
angles (deg): 60.27 59.72 59.72
Each line ends with the local moment (μB).
Positions (direct):
Cl 0.6698 0.8230 0.2933  0.03
Cl 0.3302 0.7067 0.1770  0.03
Cl 0.3302 0.1770 0.7067  0.03
Cl 0.6698 0.2933 0.8230  0.03
Na 0.6903 0.2453 0.2453  0.00
Na 0.3097 0.7547 0.7547  0.00
Br 0.1348 0.2380 0.2380  0.09
Br 0.8652 0.7620 0.7620  0.09
Ir 0.5000 0.0000 0.0000  0.56

Properties
Space-group type = C2/m
E_form (uncorrected) = -0.95 eV/atom
E_tot = -0.2517 Ry/atom